No. 1
First-principles (PBE) data for an optimized crystal structure of La4PrDy3Se8, as listed in Alexandria via LeMat-Bulk.

**DOS(E_F)**: 10.237 states/eV per cell
**Uncorrected energy**: -96.35 eV per cell
**Mass density**: 7.1 Mg/m³
**M_tot**: 0.000 μB per atom

```
16
Lattice="-0.446 8.038 2.462 1.618 -2.350 7.964 5.269 -2.224 -6.177" Properties=species:S:1:pos:R:3 pbc="T T T"
Pr 0.809 -1.175 3.982
Se 3.026 0.289 -0.394
Se 3.709 -0.833 3.393
Se 2.733 4.298 0.856
Se 0.379 1.462 2.664
Se 3.416 3.176 4.643
Se 6.063 2.002 1.585
Se 6.281 -1.921 0.383
Se 0.161 5.385 3.866
La 0.000 0.000 0.000
La 2.412 2.907 -1.858
La -0.223 4.019 1.231
La 2.635 -1.112 -3.089
Dy 3.221 1.732 2.125
Dy 3.444 -2.287 0.894
Dy 0.586 2.844 5.213
```

***

No. 2
First-principles (PBE) data for an optimized crystal structure of PaTa2V, as listed in Alexandria via LeMat-Bulk.

**DOS(E_F)**: 6.588 states/eV per cell
**Mass density**: 13.8 Mg/m³
**Energy above the lowest structure with this stoichiometry**: 147.1 meV per atom
**E_form**: 0.346 eV/atom
**M_tot**: 0.277 μB per atom

```
4
Lattice="3.026 0.000 0.000 1.513 2.621 0.000 1.513 0.874 9.736" Properties=species:S:1:pos:R:3 pbc="T T T"
Ta 4.539 2.621 7.631
Ta 1.513 0.874 2.104
V 0.000 0.000 0.000
Pa 3.026 1.747 4.868
```

***

No. 3
First-principles (PBE) data for an optimized crystal structure of ThPa4Sn, as listed in Alexandria via LeMat-Bulk.

**DOS(E_F)**: 12.751 states/eV per cell
**Mass density**: 13.4 Mg/m³
**E_form**: 0.092 eV/atom
**M_tot**: 0.000 μB per atom

```
6
Lattice="-1.664 4.969 3.060 -5.162 0.013 3.190 0.182 0.031 6.066" Properties=species:S:1:pos:R:3 pbc="T T T"
Pa -1.542 3.137 6.101
Pa -3.320 0.618 6.168
Pa -4.258 3.128 4.640
Pa -4.166 3.144 7.723
Th -1.661 1.253 3.079
Sn 0.000 0.000 0.000
```

***

No. 4
First-principles (PBE) data for an optimized crystal structure of Pa2TlIr, as listed in Alexandria via LeMat-Bulk.

**DOS(E_F)**: 7.300 states/eV per cell
**Mass density**: 15.3 Mg/m³
**E_form**: -0.303 eV/atom
**M_tot**: 0.001 μB per atom

```
4
Lattice="-1.037 2.033 2.335 -1.119 -2.543 1.717 7.727 -0.681 4.026" Properties=species:S:1:pos:R:3 pbc="T T T"
Tl 2.786 -0.595 4.039
Ir -1.078 -0.255 2.026
Pa 1.635 -0.144 0.852
Pa 6.092 -0.537 3.174
```